19
Lattice="6.4385 0.0675 1.4862 1.3494 5.7898 1.2467 0.3277 -0.9831 5.9856" Properties=species:S:1:pos:R:3 comment="Fe5Ni12Rh2, optimized geometry, DFT PBE" rho_g_cm3=8.7 formation_energy_ev_per_atom=0.0926 magmom_total_mub_per_cell=23.73 pbc="T T T"
Fe 0.7519 1.0337 1.6398
Fe 3.0637 1.3944 2.6543
Fe 3.2192 0.0337 0.7431
Fe 5.0519 3.4798 6.0642
Fe 7.3636 3.8405 7.0787
Ni 5.3333 0.5024 1.8693
Ni 2.9898 0.2518 4.7373
Ni 3.5107 3.7049 2.3212
Ni 5.3264 -0.2187 4.4428
Ni 5.8297 3.1175 2.1086
Ni 5.1644 2.0922 4.1052
Ni 2.9511 2.7820 4.6133
Ni 2.7892 5.0929 4.2757
Ni 2.2859 1.7567 6.6100
Ni 5.1258 4.6224 3.9812
Ni 4.6049 1.1693 6.3973
Ni 2.7823 4.3718 6.8493
Rh 7.4465 3.5940 4.3165
Rh 0.6691 1.2802 4.4020